Compound: BiBOs2
Source: the Alexandria database
Functional: PBE-GGA
Structure: relaxed

Distance to the lowest polymorph of the same formula, meV per atom: 543.0
Energy of formation, meV per atom: 1334
Symmetry: Fm-3m, No. 225
Crystal system: cubic
Uncorrected energy, eV/f.u.: -27.682

a = 4.4057 Å, b = 4.4057 Å, c = 4.4057 Å
α = 60.00°, β = 60.00°, γ = 60.00°
Sites, in units of the cell vectors:
Bi 0.0000 0.0000 0.0000
B 0.5000 0.5000 0.5000
Os 0.2500 0.2500 0.2500
Os 0.7500 0.7500 0.7500